TbPmMoO6: optimized geometry, PBE with a Hubbard U.

Lattice parameters (Å, degrees): 4.9214 5.5561 5.5561 120.00 90.00 90.00
Closest atoms and distances in Å follow each position.
Fractional coordinates of all 9 atoms:
O: 0.7223 0.0013 0.2929  1 Mo 1.96
O: 0.2777 0.2915 0.2929  1 Mo 1.96
O: 0.2777 0.7071 0.9987  1 Mo 1.96
Pm: 0.0000 0.3333 0.6667  6 O 2.40
Tb: 0.5000 0.6667 0.3333  6 O 2.26
O: 0.2777 0.0013 0.7085  1 Mo 1.96
Mo: 0.5000 0.0000 0.0000  6 O 1.96
O: 0.7223 0.2915 0.9987  1 Mo 1.96
O: 0.7223 0.7071 0.7085  1 Mo 1.96

Values from the calculation:
Its space group is P312, No. 149. The calculation puts the raw total energy at -7.7855 eV/atom. The calculated density is 6.3 g cm⁻³.